Entry from the Alexandria database: an optimized crystal structure of MoHO2 (PBE with a Hubbard U).

Unit cell a=5.808 b=5.808 c=5.808 alpha=28.53 beta=28.53 gamma=28.53
Positions (direct):
1 Mo 0.000 0.000 0.000
2 H 0.500 0.500 0.500
3 O 0.109 0.109 0.109
4 O 0.891 0.891 0.891

Values from the calculation:
- relative energy among the computed polymorphs (eV per formula unit) = 6.913
- uncorrected energy (eV per atom) = -4.803